First-principles (PBE) data for a relaxed structure of LiAc2In6Ni, as listed in Alexandria.

Results
As for the energy of formation from the pure elements: -0.248 eV/atom. Its symmetry is C2/m. The density of states at the Fermi level comes out at 4.739 states/eV/f.u.

abc: 7.219 7.219 7.211
angles: 119.85 119.85 90.23
Fractional coordinates of all 10 atoms:
Li: 0.000 0.000 0.000
Ac: 0.250 0.750 0.500
Ac: 0.750 0.250 0.500
In: 0.250 0.250 0.501
In: 0.250 0.250 0.999
In: 0.250 0.750 0.000
In: 0.750 0.250 0.000
In: 0.750 0.750 0.001
In: 0.750 0.750 0.499
Ni: 0.500 0.500 0.000

***

First-principles (PBE) data for a relaxed structure of Li2Ac3InO8, as listed in Alexandria.

Results
The calculation puts the uncorrected formation energy at -214.62 kJ/mol of atoms. Its symmetry is P-3m1. The density of states at the Fermi level comes out at 8.948 states/eV/f.u.

abc: 5.677 5.677 7.277
angles: 90.00 90.00 120.00
Fractional coordinates of all 14 atoms:
Li: 0.333 0.667 0.190
Li: 0.667 0.333 0.810
Ac: 0.000 0.000 0.000
Ac: 0.333 0.667 0.643
Ac: 0.667 0.333 0.357
In: 0.000 0.000 0.500
O: 0.167 0.333 0.316
O: 0.167 0.833 0.316
O: 0.333 0.167 0.684
O: 0.333 0.667 0.944
O: 0.667 0.333 0.056
O: 0.667 0.833 0.316
O: 0.833 0.167 0.684
O: 0.833 0.667 0.684

***

First-principles (PBE) data for a relaxed structure of LiAc2InO5, as listed in Alexandria.

Results
The calculation puts the uncorrected formation energy at -244.29 kJ/mol of atoms. Its symmetry is Cmc2_1. The density of states at the Fermi level comes out at 0.000 states/eV/f.u.

abc: 7.310 7.310 10.343
angles: 90.00 90.00 151.95
Fractional coordinates of all 18 atoms:
Li: 0.037 0.963 0.500
Li: 0.963 0.037 0.000
Ac: 0.372 0.628 0.339
Ac: 0.392 0.608 0.720
Ac: 0.608 0.392 0.220
Ac: 0.628 0.372 0.839
In: 0.303 0.697 0.039
In: 0.697 0.303 0.539
O: 0.002 0.998 0.815
O: 0.148 0.852 0.036
O: 0.192 0.808 0.398
O: 0.210 0.790 0.689
O: 0.452 0.548 0.076
O: 0.548 0.452 0.576
O: 0.790 0.210 0.189
O: 0.808 0.192 0.898
O: 0.852 0.148 0.536
O: 0.998 0.002 0.315